DFT (PBEsol) results for CdTcF3 after structural relaxation.

abc: 4.196 4.196 4.196
angles: 90.00 90.00 90.00
Fractional positions:
F: 0.000 0.500 0.000
Cd: 0.500 0.500 0.500
Tc: 0.000 0.000 0.000
F: 0.000 0.000 0.500
F: 0.500 0.000 0.000

The calculated density comes out at 6.01 g cm⁻³. As for the space-group type: Pm-3m (221). For the uncorrected formation energy, the calculation gives -1036 meV per atom.

---

DFT (PBEsol) results for FeIr2PtBr after structural relaxation.

abc: 4.534 4.534 4.616
angles: 90.00 90.00 90.00
Fractional positions:
Ir: 0.000 0.500 0.000
Br: 0.000 0.000 0.000
Pt: 0.000 0.000 0.500
Ir: 0.500 0.000 0.000
Fe: 0.500 0.500 0.500

The calculated density comes out at 12.52 g cm⁻³. As for the space-group type: P4/mmm (123). For the uncorrected formation energy, the calculation gives 1964 meV per atom.

---

DFT (PBEsol) results for CsCdP2S after structural relaxation.

abc: 5.045 5.045 5.237
angles: 90.00 90.00 90.00
Fractional positions:
P: 0.500 0.000 0.000
S: 0.000 0.000 0.500
P: 0.000 0.500 0.000
Cd: 0.000 0.000 0.000
Cs: 0.500 0.500 0.500

The calculated density comes out at 4.23 g cm⁻³. As for the space-group type: P4/mmm (123). For the uncorrected formation energy, the calculation gives 503 meV per atom.

---

DFT (PBEsol) results for TcMo2W after structural relaxation.

abc: 3.912 3.912 3.977
angles: 90.00 90.00 90.00
Fractional positions:
Mo: 0.500 0.000 0.000
W: 0.000 0.000 0.500
Tc: 0.500 0.500 0.500
Mo: 0.000 0.500 0.000

The calculated density comes out at 12.93 g cm⁻³. As for the space-group type: P4/mmm (123). For the distance to the lowest polymorph of the same formula, the calculation gives 289 meV per atom. The energy of formation is 0.324 eV/atom.

---

DFT (PBEsol) results for KI2O6 after structural relaxation.

abc: 6.836 6.836 20.306
angles: 96.23 96.23 110.80
Fractional positions:
K: 0.362 0.834 0.701
I: 0.345 0.290 0.597
O: 0.626 0.812 0.804
K: 0.264 0.736 0.500
O: 0.669 0.316 0.102
I: 0.914 0.871 0.822
K: 0.514 0.486 0.000
O: 0.685 0.842 0.474
I: 0.701 0.158 0.322
O: 0.571 0.258 0.696
I: 0.057 0.503 0.097
I: 0.185 0.180 0.401
I: 0.971 0.466 0.901
O: 0.227 0.397 0.663
O: 0.791 0.234 0.411
O: 0.896 0.589 0.802
K: 0.166 0.638 0.299
I: 0.534 0.029 0.099
O: 0.742 0.429 0.304
O: 0.188 0.374 0.196
O: 0.016 0.267 0.843
O: 0.923 0.674 0.657
O: 0.344 0.652 0.099
O: 0.603 0.773 0.337
O: 0.326 0.077 0.343
O: 0.844 0.036 0.698
I: 0.129 0.086 0.178
O: 0.370 0.174 0.478
K: 0.616 0.589 0.201
I: 0.820 0.815 0.599
O: 0.826 0.630 0.522
O: 0.684 0.331 0.898
I: 0.842 0.299 0.678
I: 0.710 0.655 0.403
O: 0.016 0.685 0.163
O: 0.158 0.315 0.526
O: 0.318 0.464 0.398
O: 0.130 0.073 0.089
O: 0.641 0.945 0.022
O: 0.927 0.870 0.911
O: 0.766 0.209 0.589
O: 0.733 0.984 0.157
K: 0.411 0.384 0.799
O: 0.964 0.156 0.302
O: 0.055 0.359 0.978
O: 0.198 0.005 0.599
I: 0.497 0.943 0.903
O: 0.995 0.802 0.401
O: 0.315 0.984 0.837
O: 0.536 0.682 0.602
O: 0.411 0.104 0.198
O: 0.961 0.618 0.026
O: 0.348 0.656 0.901
O: 0.382 0.039 0.974

The calculated density comes out at 4.45 g cm⁻³. As for the space-group type: Fdd2 (43). For the uncorrected formation energy, the calculation gives -542 meV per atom.

---

DFT (PBEsol) results for Cr2C after structural relaxation.

abc: 2.797 2.797 4.211
angles: 90.00 90.00 120.00
Fractional positions:
Cr: 0.667 0.333 0.747
Cr: 0.333 0.667 0.253
C: 0.000 0.000 0.000

The calculated density comes out at 6.75 g cm⁻³. As for the space-group type: P-3m1 (164). The energy of formation is -0.111 eV/atom.